Entry 1:
Material: RuICl2
Method: DFT, SCAN
State: single point on PBEsol structure

Cell: 6.6475 6.6475 6.6475 Å, 84.74 62.99 117.01°
With the nearest neighbours (Å) after each atom.
Sites, in units of the cell vectors:
Cl 0.1339 0.5089 0.1250  2 Ru 2.22
Cl 0.8661 0.7411 0.6250  2 Ru 2.22
Cl 0.3661 0.6250 0.5089  2 Ru 2.22
Cl 0.6339 0.1250 0.7411  2 Ru 2.22
I 0.0000 0.0000 0.0000  4 Cl 3.37
I 0.5000 0.2500 0.2500  4 Cl 3.37
Ru 0.5000 0.7500 0.7500  4 Cl 2.22
Ru 0.0000 0.5000 0.5000  4 Cl 2.22

Computed properties:
Total magnetization   0.00 μB per cell
Symmetry   I-42d, No. 122
Total DFT energy (no corrections)   -21.634 eV per atom

***

Entry 2:
Material: BaTa2As
Method: DFT, SCAN
State: single point on PBEsol structure

Cell: 4.9618 4.9618 4.9618 Å, 60.00 60.00 60.00°
With the nearest neighbours (Å) after each atom.
Sites, in units of the cell vectors:
As 0.5000 0.5000 0.5000  4 Ta 3.04, 4 Ba 3.04
Ta 0.7500 0.7500 0.7500  4 As 3.04, 4 Ta 3.04
Ta 0.0000 0.0000 0.0000  4 Ba 3.04, 4 Ta 3.04
Ba 0.2500 0.2500 0.2500  4 Ta 3.04, 4 As 3.04

Computed properties:
Total magnetization   0.00 μB per cell
Symmetry   F-43m, No. 216
Calculated formation energy   900 meV per atom